No. 1
Computed, not measured: a relaxed CaInCl6 crystal at the PBE level of DFT.

a = 6.635 Å, b = 6.637 Å, c = 6.937 Å
α = 90.06°, β = 118.24°, γ = 119.96°
Element x y z (fractional)
Ca 0.000 0.000 0.000
In 0.000 0.500 0.500
Cl 0.163 0.725 0.252
Cl 0.180 0.910 0.743
Cl 0.473 0.565 0.746
Cl 0.527 0.435 0.254
Cl 0.820 0.090 0.257
Cl 0.837 0.275 0.748

Properties
SG   No. 2
Total DFT energy (no corrections)   -3.253 eV/atom
Formation energy (no corrections)   -1.276 eV per atom

=====

No. 2
Computed, not measured: a relaxed PmPr2F11 crystal at the PBE level of DFT.

a = 9.027 Å, b = 9.027 Å, c = 9.027 Å
α = 121.61°, β = 108.19°, γ = 99.42°
Element x y z (fractional)
Pm 0.250 0.250 0.000
Pm 0.750 0.750 0.000
Pr 0.191 0.663 0.854
Pr 0.309 0.163 0.473
Pr 0.691 0.837 0.527
Pr 0.809 0.337 0.146
F 0.000 0.500 0.500
F 0.024 0.956 0.272
F 0.059 0.331 0.125
F 0.183 0.456 0.931
F 0.187 0.393 0.581
F 0.206 0.934 0.875
F 0.294 0.169 0.728
F 0.313 0.893 0.206
F 0.317 0.248 0.272
F 0.441 0.566 0.272
F 0.476 0.748 0.931
F 0.500 0.000 0.500
F 0.524 0.252 0.069
F 0.559 0.434 0.728
F 0.683 0.752 0.728
F 0.687 0.107 0.794
F 0.706 0.831 0.272
F 0.794 0.066 0.125
F 0.813 0.607 0.419
F 0.817 0.544 0.069
F 0.941 0.669 0.875
F 0.976 0.044 0.728

Properties
SG   No. 72
Total DFT energy (no corrections)   -5.882 eV/atom
Formation energy (no corrections)   -3.389 eV per atom

=====

No. 3
Computed, not measured: a relaxed Li3AgSn2 crystal at the PBE level of DFT.

a = 4.824 Å, b = 4.824 Å, c = 10.380 Å
α = 103.60°, β = 103.60°, γ = 89.29°
Element x y z (fractional)
Li 0.124 0.876 0.750
Li 0.207 0.458 0.914
Li 0.458 0.207 0.414
Li 0.542 0.793 0.586
Li 0.793 0.542 0.086
Li 0.876 0.124 0.250
Ag 0.375 0.625 0.250
Ag 0.625 0.375 0.750
Sn 0.046 0.296 0.591
Sn 0.296 0.046 0.091
Sn 0.704 0.954 0.909
Sn 0.954 0.704 0.409

Properties
E_form   -0.33 eV per atom
SG   No. 15
ΔE to the lowest computed polymorph   0 meV/atom
Total DFT energy (no corrections)   -3.098 eV/atom